Arrangement A

# PBE SmDy3Pd, optimized geometry
# Mass density (g cm⁻³): 8.6
# DOS at the Fermi energy (states/eV/f.u.): 7.1
data_SmDy3Pd
_space_group_name_H-M_alt 'P 1'
_space_group_IT_number 1
_space_group_name_Hall 'P 1'
_cell_length_a 9.144
_cell_length_b 9.144
_cell_length_c 6.316
_cell_angle_alpha 96.58
_cell_angle_beta 96.58
_cell_angle_gamma 33.16
loop_
_atom_site_label
_atom_site_type_symbol
_atom_site_fract_x
_atom_site_fract_y
_atom_site_fract_z
Sm1 Sm 0.090 0.090 0.356
Sm2 Sm 0.910 0.910 0.644
Dy1 Dy 0.182 0.182 0.899
Dy2 Dy 0.295 0.295 0.438
Dy3 Dy 0.461 0.461 0.227
Dy4 Dy 0.539 0.539 0.773
Dy5 Dy 0.705 0.705 0.562
Dy6 Dy 0.818 0.818 0.101
Pd1 Pd 0.350 0.350 0.875
Pd2 Pd 0.650 0.650 0.125

***

Arrangement B

# PBE SmDy3Pd, optimized geometry
# Mass density (g cm⁻³): 7.6
# DOS at the Fermi energy (states/eV/f.u.): 8.9
data_SmDy3Pd
_space_group_name_H-M_alt 'P 1'
_space_group_IT_number 1
_space_group_name_Hall 'P 1'
_cell_length_a 5.469
_cell_length_b 5.469
_cell_length_c 5.469
_cell_angle_alpha 90.00
_cell_angle_beta 90.00
_cell_angle_gamma 90.00
loop_
_atom_site_label
_atom_site_type_symbol
_atom_site_fract_x
_atom_site_fract_y
_atom_site_fract_z
Sm1 Sm 0.000 0.000 0.000
Dy1 Dy 0.000 0.500 0.500
Dy2 Dy 0.500 0.000 0.500
Dy3 Dy 0.500 0.500 0.000
Pd1 Pd 0.500 0.500 0.500

***

Arrangement C

# PBE SmDy3Pd, optimized geometry
# Mass density (g cm⁻³): 8.1
# DOS at the Fermi energy (states/eV/f.u.): 7.0
data_SmDy3Pd
_space_group_name_H-M_alt 'P 1'
_space_group_IT_number 1
_space_group_name_Hall 'P 1'
_cell_length_a 7.348
_cell_length_b 7.348
_cell_length_c 8.126
_cell_angle_alpha 123.41
_cell_angle_beta 123.41
_cell_angle_gamma 71.55
loop_
_atom_site_label
_atom_site_type_symbol
_atom_site_fract_x
_atom_site_fract_y
_atom_site_fract_z
Sm1 Sm 0.058 0.058 0.275
Sm2 Sm 0.942 0.942 0.725
Dy1 Dy 0.048 0.441 0.781
Dy2 Dy 0.441 0.048 0.781
Dy3 Dy 0.448 0.448 0.665
Dy4 Dy 0.552 0.552 0.335
Dy5 Dy 0.559 0.952 0.219
Dy6 Dy 0.952 0.559 0.219
Pd1 Pd 0.251 0.251 0.119
Pd2 Pd 0.749 0.749 0.881

***

Of them, the most stable is arrangement A and the least stable is arrangement B.

***

Arrangement A

# PBE SmDy2Pd, optimized geometry
# Mass density (g cm⁻³): 8.8
# DOS at the Fermi energy (states/eV/f.u.): 5.1
data_SmDy2Pd
_space_group_name_H-M_alt 'P 1'
_space_group_IT_number 1
_space_group_name_Hall 'P 1'
_cell_length_a 3.587
_cell_length_b 3.587
_cell_length_c 8.517
_cell_angle_alpha 90.00
_cell_angle_beta 90.00
_cell_angle_gamma 90.00
loop_
_atom_site_label
_atom_site_type_symbol
_atom_site_fract_x
_atom_site_fract_y
_atom_site_fract_z
Sm1 Sm 0.000 0.000 0.000
Dy1 Dy 0.500 0.500 0.305
Dy2 Dy 0.500 0.500 0.695
Pd1 Pd 0.000 0.000 0.500

***

Arrangement B

# PBE SmDy2Pd, optimized geometry
# Mass density (g cm⁻³): 8.6
# DOS at the Fermi energy (states/eV/f.u.): 4.6
data_SmDy2Pd
_space_group_name_H-M_alt 'P 1'
_space_group_IT_number 1
_space_group_name_Hall 'P 1'
_cell_length_a 7.086
_cell_length_b 9.732
_cell_length_c 6.514
_cell_angle_alpha 90.00
_cell_angle_beta 90.00
_cell_angle_gamma 90.00
loop_
_atom_site_label
_atom_site_type_symbol
_atom_site_fract_x
_atom_site_fract_y
_atom_site_fract_z
Sm1 Sm 0.020 0.250 0.134
Sm2 Sm 0.480 0.750 0.634
Sm3 Sm 0.520 0.250 0.366
Sm4 Sm 0.980 0.750 0.866
Dy1 Dy 0.180 0.060 0.672
Dy2 Dy 0.180 0.440 0.672
Dy3 Dy 0.320 0.560 0.172
Dy4 Dy 0.320 0.940 0.172
Dy5 Dy 0.680 0.060 0.828
Dy6 Dy 0.680 0.440 0.828
Dy7 Dy 0.820 0.560 0.328
Dy8 Dy 0.820 0.940 0.328
Pd1 Pd 0.113 0.750 0.430
Pd2 Pd 0.387 0.250 0.930
Pd3 Pd 0.613 0.750 0.070
Pd4 Pd 0.887 0.250 0.570

***

Arrangement C

# PBE SmDy2Pd, optimized geometry
# Mass density (g cm⁻³): 8.2
# DOS at the Fermi energy (states/eV/f.u.): 4.3
data_SmDy2Pd
_space_group_name_H-M_alt 'P 1'
_space_group_IT_number 1
_space_group_name_Hall 'P 1'
_cell_length_a 9.513
_cell_length_b 9.513
_cell_length_c 9.513
_cell_angle_alpha 23.29
_cell_angle_beta 23.29
_cell_angle_gamma 23.29
loop_
_atom_site_label
_atom_site_type_symbol
_atom_site_fract_x
_atom_site_fract_y
_atom_site_fract_z
Sm1 Sm 0.000 0.000 0.000
Dy1 Dy 0.562 0.562 0.562
Dy2 Dy 0.769 0.769 0.769
Pd1 Pd 0.165 0.165 0.165

***

Of them, the most stable is arrangement B and the least stable is arrangement C.

***

Arrangement A

# PBE SmDy2Pd, optimized geometry
# Mass density (g cm⁻³): 8.8
# DOS at the Fermi energy (states/eV/f.u.): 4.7
data_SmDy2Pd
_space_group_name_H-M_alt 'P 1'
_space_group_IT_number 1
_space_group_name_Hall 'P 1'
_cell_length_a 3.778
_cell_length_b 9.353
_cell_length_c 6.518
_cell_angle_alpha 90.00
_cell_angle_beta 106.82
_cell_angle_gamma 90.00
loop_
_atom_site_label
_atom_site_type_symbol
_atom_site_fract_x
_atom_site_fract_y
_atom_site_fract_z
Sm1 Sm 0.061 0.250 0.124
Sm2 Sm 0.939 0.750 0.876
Dy1 Dy 0.364 0.060 0.728
Dy2 Dy 0.364 0.440 0.728
Dy3 Dy 0.636 0.560 0.272
Dy4 Dy 0.636 0.940 0.272
Pd1 Pd 0.236 0.750 0.473
Pd2 Pd 0.764 0.250 0.527

***

Arrangement B

# PBE SmDy2Pd, optimized geometry
# Mass density (g cm⁻³): 8.4
# DOS at the Fermi energy (states/eV/f.u.): 3.9
data_SmDy2Pd
_space_group_name_H-M_alt 'P 1'
_space_group_IT_number 1
_space_group_name_Hall 'P 1'
_cell_length_a 10.020
_cell_length_b 10.020
_cell_length_c 10.020
_cell_angle_alpha 21.22
_cell_angle_beta 21.22
_cell_angle_gamma 21.22
loop_
_atom_site_label
_atom_site_type_symbol
_atom_site_fract_x
_atom_site_fract_y
_atom_site_fract_z
Sm1 Sm 0.000 0.000 0.000
Dy1 Dy 0.232 0.232 0.232
Dy2 Dy 0.768 0.768 0.768
Pd1 Pd 0.500 0.500 0.500

***

Of them, the most stable is arrangement A and the least stable is arrangement B.

***

Arrangement A

# PBE SmDyZnPd, optimized geometry
# Mass density (g cm⁻³): 8.8
# DOS at the Fermi energy (states/eV/f.u.): 3.2
data_SmDyZnPd
_space_group_name_H-M_alt 'P 1'
_space_group_IT_number 1
_space_group_name_Hall 'P 1'
_cell_length_a 3.595
_cell_length_b 3.595
_cell_length_c 7.065
_cell_angle_alpha 90.00
_cell_angle_beta 90.00
_cell_angle_gamma 90.00
loop_
_atom_site_label
_atom_site_type_symbol
_atom_site_fract_x
_atom_site_fract_y
_atom_site_fract_z
Sm1 Sm 0.000 0.000 0.000
Dy1 Dy 0.000 0.000 0.490
Zn1 Zn 0.500 0.500 0.736
Pd1 Pd 0.500 0.500 0.260

***

Arrangement B

# PBE SmDyZnPd, optimized geometry
# Mass density (g cm⁻³): 8.8
# DOS at the Fermi energy (states/eV/f.u.): 2.4
data_SmDyZnPd
_space_group_name_H-M_alt 'P 1'
_space_group_IT_number 1
_space_group_name_Hall 'P 1'
_cell_length_a 5.058
_cell_length_b 5.058
_cell_length_c 5.058
_cell_angle_alpha 60.00
_cell_angle_beta 60.00
_cell_angle_gamma 60.00
loop_
_atom_site_label
_atom_site_type_symbol
_atom_site_fract_x
_atom_site_fract_y
_atom_site_fract_z
Sm1 Sm 0.000 0.000 0.000
Dy1 Dy 0.500 0.500 0.500
Zn1 Zn 0.250 0.250 0.250
Pd1 Pd 0.750 0.750 0.750

***

Of them, the most stable is arrangement A and the least stable is arrangement B.

***

Arrangement A

# PBE DySnPd4, optimized geometry
# Mass density (g cm⁻³): 10.9
# DOS at the Fermi energy (states/eV/f.u.): 3.5
data_DySnPd4
_space_group_name_H-M_alt 'P 1'
_space_group_IT_number 1
_space_group_name_Hall 'P 1'
_cell_length_a 4.926
_cell_length_b 8.994
_cell_length_c 4.905
_cell_angle_alpha 90.00
_cell_angle_beta 95.86
_cell_angle_gamma 90.00
loop_
_atom_site_label
_atom_site_type_symbol
_atom_site_fract_x
_atom_site_fract_y
_atom_site_fract_z
Dy1 Dy 0.000 0.000 0.000
Dy2 Dy 0.000 0.500 0.500
Sn1 Sn 0.500 0.000 0.500
Sn2 Sn 0.500 0.500 0.000
Pd1 Pd 0.000 0.163 0.500
Pd2 Pd 0.000 0.337 0.000
Pd3 Pd 0.000 0.663 0.000
Pd4 Pd 0.000 0.837 0.500
Pd5 Pd 0.500 0.167 0.002
Pd6 Pd 0.500 0.333 0.502
Pd7 Pd 0.500 0.667 0.498
Pd8 Pd 0.500 0.833 0.998

***

Arrangement B

# PBE DySnPd4, optimized geometry
# Mass density (g cm⁻³): 10.6
# DOS at the Fermi energy (states/eV/f.u.): 5.1
data_DySnPd4
_space_group_name_H-M_alt 'P 1'
_space_group_IT_number 1
_space_group_name_Hall 'P 1'
_cell_length_a 5.389
_cell_length_b 5.389
_cell_length_c 5.389
_cell_angle_alpha 60.00
_cell_angle_beta 60.00
_cell_angle_gamma 60.00
loop_
_atom_site_label
_atom_site_type_symbol
_atom_site_fract_x
_atom_site_fract_y
_atom_site_fract_z
Dy1 Dy 0.000 0.000 0.000
Sn1 Sn 0.750 0.750 0.750
Pd1 Pd 0.375 0.375 0.375
Pd2 Pd 0.375 0.375 0.875
Pd3 Pd 0.375 0.875 0.375
Pd4 Pd 0.875 0.375 0.375

***

Arrangement C

# PBE DySnPd4, optimized geometry
# Mass density (g cm⁻³): 10.8
# DOS at the Fermi energy (states/eV/f.u.): 2.5
data_DySnPd4
_space_group_name_H-M_alt 'P 1'
_space_group_IT_number 1
_space_group_name_Hall 'P 1'
_cell_length_a 5.161
_cell_length_b 5.161
_cell_length_c 6.605
_cell_angle_alpha 109.37
_cell_angle_beta 109.37
_cell_angle_gamma 41.20
loop_
_atom_site_label
_atom_site_type_symbol
_atom_site_fract_x
_atom_site_fract_y
_atom_site_fract_z
Dy1 Dy 0.000 0.000 0.000
Sn1 Sn 0.000 0.000 0.500
Pd1 Pd 0.330 0.330 0.179
Pd2 Pd 0.342 0.342 0.656
Pd3 Pd 0.658 0.658 0.344
Pd4 Pd 0.670 0.670 0.821

***

Of them, the most stable is arrangement A and the least stable is arrangement B.

***

Arrangement A

# PBE DySn2Pd7, optimized geometry
# Mass density (g cm⁻³): 8.6
# DOS at the Fermi energy (states/eV/f.u.): 3.2
data_DySn2Pd7
_space_group_name_H-M_alt 'P 1'
_space_group_IT_number 1
_space_group_name_Hall 'P 1'
_cell_length_a 7.648
_cell_length_b 7.648
_cell_length_c 4.470
_cell_angle_alpha 90.00
_cell_angle_beta 90.00
_cell_angle_gamma 122.31
loop_
_atom_site_label
_atom_site_type_symbol
_atom_site_fract_x
_atom_site_fract_y
_atom_site_fract_z
Dy1 Dy 0.000 0.000 0.000
Sn1 Sn 0.302 0.698 0.500
Sn2 Sn 0.698 0.302 0.500
Pd1 Pd 0.074 0.290 0.500
Pd2 Pd 0.204 0.796 0.000
Pd3 Pd 0.290 0.074 0.500
Pd4 Pd 0.500 0.500 0.500
Pd5 Pd 0.710 0.926 0.500
Pd6 Pd 0.796 0.204 0.000
Pd7 Pd 0.926 0.710 0.500

***

Arrangement B

# PBE DySn2Pd7, optimized geometry
# Mass density (g cm⁻³): 10.1
# DOS at the Fermi energy (states/eV/f.u.): 3.1
data_DySn2Pd7
_space_group_name_H-M_alt 'P 1'
_space_group_IT_number 1
_space_group_name_Hall 'P 1'
_cell_length_a 11.538
_cell_length_b 11.538
_cell_length_c 11.538
_cell_angle_alpha 159.47
_cell_angle_beta 159.47
_cell_angle_gamma 29.19
loop_
_atom_site_label
_atom_site_type_symbol
_atom_site_fract_x
_atom_site_fract_y
_atom_site_fract_z
Dy1 Dy 0.000 0.000 0.000
Sn1 Sn 0.329 0.329 0.000
Sn2 Sn 0.671 0.671 0.000
Pd1 Pd 0.093 0.593 0.500
Pd2 Pd 0.250 0.750 0.500
Pd3 Pd 0.407 0.907 0.500
Pd4 Pd 0.500 0.500 0.000
Pd5 Pd 0.593 0.093 0.500
Pd6 Pd 0.750 0.250 0.500
Pd7 Pd 0.907 0.407 0.500

***

Of them, the most stable is arrangement B and the least stable is arrangement A.